Pb2ClO2: relaxed, PBE-GGA.

As for the polymorph energy (0 for the lowest one): 0 meV per atom. The crystal system is tetragonal. As for the formation energy without anion corrections: -1.020 eV/atom. The total energy comes out at -4.86 eV/atom.

The structure belongs to space group I4/mmm (No. 139); the cell edges are 4.011, 4.011 and 12.789 Å and the angles 90.00°, 90.00° and 90.00°. The asymmetric unit holds Pb at (0.000, 0.000, 0.155), Cl at (0.000, 0.000, 0.500) and O at (0.000, 0.500, 0.250).